Run a
A geometry-optimized Zr2VBr structure, computed with PBE.

a = 7.506 Å, b = 7.506 Å, c = 7.506 Å
α = 134.34°, β = 134.34°, γ = 66.55°
Fractional coordinates of all 8 atoms:
Zr 0.059 0.625 0.934
Zr 0.375 0.309 0.434
Zr 0.691 0.125 0.066
Zr 0.875 0.941 0.566
V 0.000 0.000 0.000
V 0.750 0.250 0.500
Br 0.250 0.750 0.500
Br 0.500 0.500 0.000

***

Run b
A geometry-optimized Zr2VBr structure, computed with PBE.

a = 4.809 Å, b = 4.809 Å, c = 4.809 Å
α = 60.00°, β = 60.00°, γ = 60.00°
Fractional coordinates of all 4 atoms:
Zr 0.250 0.250 0.250
Zr 0.750 0.750 0.750
V 0.000 0.000 0.000
Br 0.500 0.500 0.500

***

Which is most stable, and by how much? run b, by 441 meV/atom.

***

Run a
A geometry-optimized ZrVBr3 structure, computed with PBE.

a = 5.340 Å, b = 5.340 Å, c = 5.340 Å
α = 90.00°, β = 90.00°, γ = 90.00°
Fractional coordinates of all 5 atoms:
Zr 0.000 0.000 0.000
V 0.500 0.500 0.500
Br 0.000 0.000 0.500
Br 0.000 0.500 0.000
Br 0.500 0.000 0.000

***

Run b
A geometry-optimized ZrVBr3 structure, computed with PBE.

a = 5.130 Å, b = 5.130 Å, c = 5.130 Å
α = 90.00°, β = 90.00°, γ = 90.00°
Fractional coordinates of all 5 atoms:
Zr 0.000 0.000 0.000
V 0.500 0.500 0.500
Br 0.000 0.500 0.500
Br 0.500 0.000 0.500
Br 0.500 0.500 0.000

***

Which is most stable, and by how much? run a, by 98 meV/atom.

***

Run a
A geometry-optimized Zr2V2Br structure, computed with PBE.

a = 7.605 Å, b = 7.605 Å, c = 3.415 Å
α = 90.00°, β = 90.00°, γ = 90.00°
Fractional coordinates of all 10 atoms:
Zr 0.194 0.306 0.000
Zr 0.306 0.806 0.000
Zr 0.694 0.194 0.000
Zr 0.806 0.694 0.000
V 0.094 0.594 0.500
V 0.406 0.094 0.500
V 0.594 0.906 0.500
V 0.906 0.406 0.500
Br 0.000 0.000 0.500
Br 0.500 0.500 0.500

***

Run b
A geometry-optimized Zr2V2Br structure, computed with PBE.

a = 6.339 Å, b = 6.339 Å, c = 6.339 Å
α = 139.31°, β = 139.31°, γ = 58.91°
Fractional coordinates of all 5 atoms:
Zr 0.250 0.750 0.500
Zr 0.750 0.250 0.500
V 0.087 0.087 0.000
V 0.913 0.913 0.000
Br 0.500 0.500 0.000

***

Which is most stable, and by how much? run a, by 663 meV/atom.

***

Run a
A geometry-optimized W2Br structure, computed with PBE.

a = 4.691 Å, b = 4.691 Å, c = 5.400 Å
α = 90.00°, β = 90.00°, γ = 120.00°
Fractional coordinates of all 6 atoms:
W 0.000 0.000 0.000
W 0.000 0.000 0.500
W 0.333 0.667 0.250
W 0.667 0.333 0.750
Br 0.333 0.667 0.750
Br 0.667 0.333 0.250

***

Run b
A geometry-optimized W2Br structure, computed with PBE.

a = 5.138 Å, b = 5.138 Å, c = 5.138 Å
α = 106.81°, β = 106.81°, γ = 114.94°
Fractional coordinates of all 6 atoms:
W 0.143 0.643 0.787
W 0.357 0.143 0.500
W 0.643 0.857 0.500
W 0.857 0.357 0.213
Br 0.250 0.250 0.000
Br 0.750 0.750 0.000

***

Run c
A geometry-optimized W2Br structure, computed with PBE.

a = 2.962 Å, b = 2.962 Å, c = 6.741 Å
α = 90.00°, β = 90.00°, γ = 120.00°
Fractional coordinates of all 3 atoms:
W 0.333 0.667 0.334
W 0.667 0.333 0.666
Br 0.000 0.000 0.000

***

Run d
A geometry-optimized W2Br structure, computed with PBE.

a = 5.806 Å, b = 5.806 Å, c = 7.370 Å
α = 117.61°, β = 117.61°, γ = 30.33°
Fractional coordinates of all 6 atoms:
W 0.000 0.000 0.000
W 0.043 0.043 0.641
W 0.437 0.437 0.254
W 0.716 0.716 0.967
Br 0.358 0.358 0.693
Br 0.683 0.683 0.293

***

Which is most stable, and by how much? run c, by 114 meV/atom.

***

Run a
A geometry-optimized W2Br structure, computed with PBE.

a = 4.691 Å, b = 4.691 Å, c = 2.890 Å
α = 90.00°, β = 90.00°, γ = 120.00°
Fractional coordinates of all 3 atoms:
W 0.333 0.667 0.000
W 0.667 0.333 0.000
Br 0.000 0.000 0.500

***

Run b
A geometry-optimized W2Br structure, computed with PBE.

a = 4.557 Å, b = 4.557 Å, c = 6.370 Å
α = 90.00°, β = 90.00°, γ = 120.00°
Fractional coordinates of all 6 atoms:
W 0.333 0.667 0.049
W 0.333 0.667 0.451
W 0.667 0.333 0.549
W 0.667 0.333 0.951
Br 0.000 0.000 0.250
Br 0.000 0.000 0.750

***

Which is most stable, and by how much? run b, by 113 meV/atom.

***

Run a
A geometry-optimized W2Br structure, computed with PBE.

a = 10.453 Å, b = 10.453 Å, c = 10.453 Å
α = 154.89°, β = 154.89°, γ = 35.81°
Fractional coordinates of all 12 atoms:
W 0.123 0.373 0.750
W 0.288 0.538 0.750
W 0.373 0.123 0.250
W 0.462 0.712 0.750
W 0.538 0.288 0.250
W 0.627 0.877 0.750
W 0.712 0.462 0.250
W 0.877 0.627 0.250
Br 0.053 0.803 0.250
Br 0.197 0.947 0.250
Br 0.803 0.053 0.750
Br 0.947 0.197 0.750

***

Run b
A geometry-optimized W2Br structure, computed with PBE.

a = 12.421 Å, b = 12.421 Å, c = 12.421 Å
α = 165.59°, β = 165.59°, γ = 20.43°
Fractional coordinates of all 6 atoms:
W 0.288 0.538 0.750
W 0.462 0.712 0.750
W 0.538 0.288 0.250
W 0.712 0.462 0.250
Br 0.125 0.875 0.250
Br 0.875 0.125 0.750

***

Run c
A geometry-optimized W2Br structure, computed with PBE.

a = 5.926 Å, b = 5.926 Å, c = 5.926 Å
α = 130.23°, β = 127.33°, γ = 75.39°
Fractional coordinates of all 6 atoms:
W 0.307 0.057 0.250
W 0.435 0.685 0.750
W 0.565 0.315 0.250
W 0.693 0.943 0.750
Br 0.128 0.378 0.750
Br 0.872 0.622 0.250

***

Run d
A geometry-optimized W2Br structure, computed with PBE.

a = 4.417 Å, b = 4.417 Å, c = 2.850 Å
α = 90.00°, β = 90.00°, γ = 90.00°
Fractional coordinates of all 3 atoms:
W 0.000 0.500 0.000
W 0.500 0.000 0.000
Br 0.000 0.000 0.500

***

Which is most stable, and by how much? run c, by 71 meV/atom.

***

Run a
A geometry-optimized W2Br structure, computed with PBE.

a = 4.776 Å, b = 4.776 Å, c = 4.776 Å
α = 143.54°, β = 126.49°, γ = 66.48°
Fractional coordinates of all 3 atoms:
W 0.170 0.170 0.000
W 0.830 0.830 0.000
Br 0.500 0.500 0.000

***

Run b
A geometry-optimized W2Br structure, computed with PBE.

a = 5.262 Å, b = 5.262 Å, c = 10.009 Å
α = 92.68°, β = 92.68°, γ = 35.01°
Fractional coordinates of all 6 atoms:
W 0.060 0.060 0.142
W 0.357 0.357 0.037
W 0.643 0.643 0.963
W 0.940 0.940 0.858
Br 0.367 0.367 0.656
Br 0.633 0.633 0.344

***

Which is most stable, and by how much? run b, by 845 meV/atom.

***

Run a
A geometry-optimized W2Br structure, computed with PBE.

a = 6.617 Å, b = 6.617 Å, c = 6.169 Å
α = 100.58°, β = 100.58°, γ = 27.77°
Fractional coordinates of all 6 atoms:
W 0.172 0.172 0.348
W 0.210 0.210 0.805
W 0.790 0.790 0.195
W 0.828 0.828 0.652
Br 0.499 0.499 0.248
Br 0.501 0.501 0.752

***

Run b
A geometry-optimized W2Br structure, computed with PBE.

a = 6.119 Å, b = 6.119 Å, c = 6.119 Å
α = 150.16°, β = 150.16°, γ = 42.70°
Fractional coordinates of all 3 atoms:
W 0.189 0.189 0.000
W 0.811 0.811 0.000
Br 0.500 0.500 0.000

***

Which is most stable, and by how much? run a, by 232 meV/atom.